No. 1
Compound: CaNd3Te6
Source: the Alexandria database
Functional: PBE-GGA
Structure: optimized geometry

Calculated values
Calculated volume ... 35.7 A^3/atom
Uncorrected formation energy ... -1.315 eV/atom
N(E_F) ... 6.715 states/eV/f.u.
Total DFT energy (no corrections) ... -96.6 eV/cell

abc: 12.743 4.463 13.315
angles: 90.00 109.31 90.00
Fractional coordinates of all 20 atoms:
Ca  0.043  0.250  0.194
Ca  0.957  0.750  0.806
Nd  0.156  0.250  0.579
Nd  0.315  0.750  0.000
Nd  0.428  0.250  0.331
Nd  0.572  0.750  0.669
Nd  0.685  0.250  0.000
Nd  0.844  0.750  0.421
Te  0.085  0.750  0.402
Te  0.113  0.250  0.961
Te  0.197  0.750  0.752
Te  0.251  0.750  0.221
Te  0.395  0.250  0.560
Te  0.487  0.250  0.120
Te  0.513  0.750  0.880
Te  0.605  0.750  0.440
Te  0.749  0.250  0.779
Te  0.803  0.250  0.248
Te  0.887  0.750  0.039
Te  0.915  0.250  0.598

No. 2
Compound: Ca3Nd5Te8
Source: the Alexandria database
Functional: PBE-GGA
Structure: optimized geometry

Calculated values
Calculated volume ... 32.2 A^3/atom
Uncorrected formation energy ... -1.490 eV/atom
N(E_F) ... 7.489 states/eV/f.u.
Total DFT energy (no corrections) ... -78.8 eV/cell

abc: 9.043 9.043 9.043
angles: 59.33 59.33 59.33
Fractional coordinates of all 16 atoms:
Ca  0.000  0.500  0.500
Ca  0.500  0.000  0.500
Ca  0.500  0.500  0.000
Nd  0.000  0.000  0.000
Nd  0.000  0.000  0.500
Nd  0.000  0.500  0.000
Nd  0.500  0.000  0.000
Nd  0.500  0.500  0.500
Te  0.250  0.250  0.746
Te  0.250  0.746  0.250
Te  0.252  0.252  0.252
Te  0.254  0.750  0.750
Te  0.746  0.250  0.250
Te  0.748  0.748  0.748
Te  0.750  0.254  0.750
Te  0.750  0.750  0.254

No. 3
Compound: CaNd6Te8
Source: the Alexandria database
Functional: PBE-GGA
Structure: optimized geometry

Calculated values
Calculated volume ... 34.1 A^3/atom
Uncorrected formation energy ... -1.480 eV/atom
N(E_F) ... 4.681 states/eV/f.u.
Total DFT energy (no corrections) ... -77.9 eV/cell

abc: 8.980 8.980 8.980
angles: 60.00 60.00 60.00
Fractional coordinates of all 15 atoms:
Ca  0.000  0.000  0.000
Nd  0.000  0.000  0.500
Nd  0.000  0.500  0.000
Nd  0.000  0.500  0.500
Nd  0.500  0.000  0.000
Nd  0.500  0.000  0.500
Nd  0.500  0.500  0.000
Te  0.250  0.250  0.250
Te  0.252  0.252  0.748
Te  0.252  0.748  0.252
Te  0.252  0.748  0.748
Te  0.748  0.252  0.252
Te  0.748  0.252  0.748
Te  0.748  0.748  0.252
Te  0.750  0.750  0.750

No. 4
Compound: CaNdTe2
Source: the Alexandria database
Functional: PBE-GGA
Structure: optimized geometry

Calculated values
Energy above the lowest structure with this stoichiometry ... 54 meV per atom
Calculated volume ... 32.6 A^3/atom
Uncorrected formation energy ... -1.460 eV/atom
N(E_F) ... 1.632 states/eV/f.u.
Total DFT energy (no corrections) ... -37.8 eV/cell

abc: 4.397 4.397 15.569
angles: 90.00 90.00 120.00
Fractional coordinates of all 8 atoms:
Ca  0.333  0.667  0.250
Ca  0.667  0.333  0.750
Nd  0.000  0.000  0.000
Nd  0.000  0.000  0.500
Te  0.333  0.667  0.625
Te  0.333  0.667  0.875
Te  0.667  0.333  0.125
Te  0.667  0.333  0.375

No. 5
Compound: Ca2NdTe4
Source: the Alexandria database
Functional: PBE-GGA
Structure: optimized geometry

Calculated values
Calculated volume ... 34.6 A^3/atom
Uncorrected formation energy ... -1.333 eV/atom
N(E_F) ... 3.349 states/eV/f.u.
Total DFT energy (no corrections) ... -61.3 eV/cell

abc: 7.619 7.619 15.338
angles: 90.00 90.00 147.01
Fractional coordinates of all 14 atoms:
Ca  0.136  0.864  0.570
Ca  0.136  0.864  0.930
Ca  0.864  0.136  0.070
Ca  0.864  0.136  0.430
Nd  0.384  0.616  0.750
Nd  0.616  0.384  0.250
Te  0.041  0.959  0.750
Te  0.213  0.787  0.123
Te  0.213  0.787  0.377
Te  0.500  0.500  0.000
Te  0.500  0.500  0.500
Te  0.787  0.213  0.623
Te  0.787  0.213  0.877
Te  0.959  0.041  0.250

No. 6
Compound: CaNd2Te4
Source: the Alexandria database
Functional: PBE-GGA
Structure: optimized geometry

Calculated values
Energy above the lowest structure with this stoichiometry ... 40 meV per atom
Calculated volume ... 36.0 A^3/atom
Uncorrected formation energy ... -1.448 eV/atom
Total DFT energy (no corrections) ... -68.5 eV/cell

abc: 7.674 7.674 15.456
angles: 90.00 90.00 146.37
Fractional coordinates of all 14 atoms:
Ca  0.116  0.884  0.750
Ca  0.884  0.116  0.250
Nd  0.365  0.635  0.572
Nd  0.365  0.635  0.928
Nd  0.635  0.365  0.072
Nd  0.635  0.365  0.428
Te  0.000  0.000  0.000
Te  0.000  0.000  0.500
Te  0.277  0.723  0.122
Te  0.277  0.723  0.378
Te  0.464  0.536  0.750
Te  0.536  0.464  0.250
Te  0.723  0.277  0.622
Te  0.723  0.277  0.878